Compound: In4Sn2I9
Source: Alexandria
Functional: GGA-PBE
Structure: optimized geometry

- DOS at the Fermi energy: 4.60 states/eV/f.u.
- Calculated total energy: -79.29 eV/cell
- Uncorrected formation energy: -0.45 eV/atom
- Magnetic moment: 0.00 μB per cell

a b c (Å): 8.0739 8.0739 23.6345
angles (deg): 90.00 90.00 120.00
Space group P-3 (No. 147)
Symmetry-distinct sites (fractional):
In 0.3333 0.6667 0.0088 [2 per cell]
In 0.3333 0.6667 0.3262 [2 per cell]
In 0.3333 0.6667 0.5089 [2 per cell]
In 0.3333 0.6667 0.8285 [2 per cell]
Sn 0.0000 0.0000 0.1603 [2 per cell]
Sn 0.0000 0.0000 0.3402 [2 per cell]
I 0.0049 0.3075 0.7506 [6 per cell]
I 0.0087 0.6781 0.9138 [6 per cell]
I 0.0106 0.3292 0.4133 [6 per cell]